[1]
Density functional theory data (PBE) for a relaxed LiTlHg5 crystal.

The space group is P4/mmm (No. 123) and the conventional cell measures 4.380, 4.380 and 9.744 Å, with angles of 90.00, 90.00 and 90.00 degrees. The distinct sites, in fractional coordinates, are Li at (0.000, 0.000, 0.000), Tl at (0.500, 0.500, 0.500), Hg at (0.000, 0.500, 0.244) and Hg at (0.500, 0.500, 0.000).

The formation energy comes out at -0.072 eV per atom. Its raw total energy is -0.90 eV/atom. The calculation puts the energy above the most stable polymorph in this dataset at 0.21 eV/f.u. The magnetization comes out at 0.000 Bohr magnetons per cell.

---

[2]
Density functional theory data (PBE) for a relaxed LiTlHg2 crystal.

The space group is F-43m (No. 216) and the conventional cell measures 7.272, 7.272 and 7.272 Å, with angles of 90.00, 90.00 and 90.00 degrees. The distinct sites, in fractional coordinates, are Li at (0.000, 0.000, 0.000), Tl at (0.250, 0.250, 0.250), Hg at (0.000, 0.000, 0.500) and Hg at (0.250, 0.250, 0.750).

The formation energy comes out at -0.114 eV per atom. Its raw total energy is -1.33 eV/atom. The calculation puts the energy above the most stable polymorph in this dataset at 0.26 eV/f.u. The magnetization comes out at 0.000 Bohr magnetons per cell.

---

[3]
Density functional theory data (PBE) for a relaxed LiTl4Hg crystal.

The space group is Cmc2_1 (No. 36) and the conventional cell measures 5.437, 14.288 and 8.588 Å, with angles of 90.00, 90.00 and 90.00 degrees. The distinct sites, in fractional coordinates, are Li at (0.000, 0.161, 0.000), Tl at (0.000, 0.006, 0.271), Tl at (0.000, 0.196, 0.531), Tl at (0.000, 0.334, 0.232), Tl at (0.000, 0.469, 0.529) and Hg at (0.000, 0.335, 0.823).

The formation energy comes out at -0.041 eV per atom. Its raw total energy is -1.99 eV/atom. The calculation puts the energy above the most stable polymorph in this dataset at 0.00 eV/f.u. The magnetization comes out at 0.000 Bohr magnetons per cell.

---

[4]
Density functional theory data (PBE) for a relaxed LiTl3Hg2 crystal.

The space group is Cmmm (No. 65) and the conventional cell measures 5.477, 16.557 and 3.477 Å, with angles of 90.00, 90.00 and 90.00 degrees. The distinct sites, in fractional coordinates, are Li at (0.000, 0.000, 0.000), Tl at (0.000, 0.315, 0.000), Tl at (0.000, 0.500, 0.500) and Hg at (0.000, 0.135, 0.500).

The formation energy comes out at -0.090 eV per atom. Its raw total energy is -1.69 eV/atom. The magnetization comes out at 0.000 Bohr magnetons per cell.

---

Which value of magnetization does entry 1 give?
0.000 Bohr magnetons per cell